Material: Ac3Zn2Si
Method: DFT, PBE
State: optimized geometry

- size of the total moment (μB/f.u.) = 0.000
- density (g/cm3) = 7.61
- SG = Pnma
- crystal system = orthorhombic
- ΔE_f (raw) (meV/atom) = -314

Unit cell a=12.8845 b=4.2292 c=13.4567 alpha=90.00 beta=90.00 gamma=90.00
Last column: nearest neighbours and their distance in Å.
Positions (direct):
Ac  0.0656  0.2500  0.1312  5 Zn 3.29-3.67, 1 Si 3.38
Ac  0.1174  0.7500  0.5556  3 Si 3.23-3.34, 5 Zn 3.37-3.38
Ac  0.2023  0.2500  0.7883  2 Si 3.23, 4 Zn 3.36-3.41
Ac  0.2977  0.7500  0.2883  2 Si 3.23, 4 Zn 3.36-3.41
Ac  0.3826  0.2500  0.0556  3 Si 3.23-3.34, 5 Zn 3.37-3.38
Ac  0.4344  0.7500  0.6312  5 Zn 3.29-3.67, 1 Si 3.38
Ac  0.5656  0.2500  0.3688  5 Zn 3.29-3.67, 1 Si 3.38
Ac  0.6174  0.7500  0.9444  3 Si 3.23-3.34, 5 Zn 3.37-3.38
Ac  0.7023  0.2500  0.7117  2 Si 3.23, 4 Zn 3.36-3.41
Ac  0.7977  0.7500  0.2117  2 Si 3.23, 4 Zn 3.36-3.41
Ac  0.8826  0.2500  0.4444  3 Si 3.23-3.34, 5 Zn 3.37-3.38
Ac  0.9344  0.7500  0.8688  5 Zn 3.29-3.67, 1 Si 3.38
Zn  0.0386  0.7500  0.3169  2 Si 2.55
Zn  0.1939  0.7500  0.9821  1 Si 2.68
Zn  0.3061  0.2500  0.4821  1 Si 2.68
Zn  0.4614  0.2500  0.8169  2 Si 2.55
Zn  0.5386  0.7500  0.1831  2 Si 2.55
Zn  0.6939  0.7500  0.5179  1 Si 2.68
Zn  0.8061  0.2500  0.0179  1 Si 2.68
Zn  0.9614  0.2500  0.6831  2 Si 2.55
Si  0.1311  0.2500  0.3748  3 Zn 2.55-2.68
Si  0.3689  0.7500  0.8748  3 Zn 2.55-2.68
Si  0.6311  0.2500  0.1252  3 Zn 2.55-2.68
Si  0.8689  0.7500  0.6252  3 Zn 2.55-2.68